Compound: SiTeMo
Source: Alexandria via LeMat-Bulk
Functional: PBE
Structure: optimized geometry

a b c (Å): 7.174 6.935 3.055
angles (deg): 81.92 73.15 24.93
Positions (direct):
Mo1 0.989 0.989 0.011
Si1 0.357 0.357 0.643
Te1 0.655 0.655 0.345

Results
The total energy is -5.972 eV per atom. The calculation puts the energy relative to the elements, uncorrected at 0.493 eV/atom. For the energy relative to the lowest polymorph listed for this composition, the calculation gives 39.78 kJ/mol of atoms.

***

Compound: GdErFeCu
Source: Alexandria via LeMat-Bulk
Functional: PBE
Structure: optimized geometry

a b c (Å): 4.824 4.824 4.824
angles (deg): 60.00 60.00 60.00
Positions (direct):
Gd1 0.000 0.000 0.000
Fe1 0.750 0.750 0.750
Cu1 0.250 0.250 0.250
Er1 0.500 0.500 0.500

Results
The total energy is -7.822 eV per atom. The calculation puts the energy of formation at -0.021 eV/atom.

***

Compound: GdIn3Ni
Source: Alexandria via LeMat-Bulk
Functional: PBE
Structure: optimized geometry

a b c (Å): 4.945 4.945 4.945
angles (deg): 90.00 90.00 90.00
Positions (direct):
Ni1 0.000 0.000 0.000
Gd1 0.500 0.500 0.500
In1 0.000 0.500 0.000
In2 0.000 0.000 0.500
In3 0.500 0.000 0.000

Results
The total energy is -5.785 eV per atom. The calculation puts the energy of formation at -0.169 eV/atom.

***

Compound: MnNiBi
Source: Alexandria via LeMat-Bulk
Functional: PBE
Structure: optimized geometry

a b c (Å): 8.358 4.126 7.189
angles (deg): 90.00 106.29 90.00
Positions (direct):
Mn1 0.535 0.000 0.799
Mn2 0.535 0.500 0.299
Mn3 0.323 0.000 0.394
Mn4 0.323 0.500 0.894
Ni1 0.419 0.000 0.093
Ni2 0.419 0.500 0.593
Ni3 0.237 0.000 0.699
Ni4 0.237 0.500 0.199
Bi1 0.075 0.000 0.979
Bi2 0.075 0.500 0.479
Bi3 0.706 0.000 0.524
Bi4 0.706 0.500 0.024

Results
The total energy is -6.179 eV per atom. The calculation puts the energy of formation at 0.099 eV/atom.

***

Compound: Pr4ThAs5
Source: Alexandria via LeMat-Bulk
Functional: PBE
Structure: optimized geometry

a b c (Å): 6.076 7.442 7.442
angles (deg): 80.41 65.91 65.91
Positions (direct):
Pr1 0.402 0.400 0.798
Pr2 0.802 0.798 0.600
Pr3 0.200 0.202 0.400
Pr4 0.600 0.600 0.202
Th1 0.001 0.000 0.000
As1 0.903 0.394 0.803
As2 0.297 0.803 0.606
As3 0.705 0.197 0.394
As4 0.099 0.606 0.197
As5 0.501 0.000 0.000

Results
The total energy is -6.485 eV per atom. The calculation puts the energy of formation at -1.507 eV/atom.

***

Compound: PrEu2Hg
Source: Alexandria via LeMat-Bulk
Functional: PBE
Structure: optimized geometry

a b c (Å): 3.810 3.810 9.430
angles (deg): 90.00 90.00 90.00
Positions (direct):
Eu1 0.000 0.000 0.792
Eu2 0.000 0.000 0.208
Pr1 0.500 0.500 0.500
Hg1 0.500 0.500 0.000

Results
The total energy is -6.628 eV per atom. The calculation puts the energy of formation at -0.221 eV/atom. For the energy relative to the lowest polymorph listed for this composition, the calculation gives 0.00 kJ/mol of atoms.

***

Compound: Re2PbBr
Source: Alexandria via LeMat-Bulk
Functional: PBE
Structure: optimized geometry

a b c (Å): 6.483 6.483 6.483
angles (deg): 148.89 134.12 56.47
Positions (direct):
Pb1 0.264 0.764 0.500
Re1 0.907 0.907 0.000
Re2 0.770 0.270 0.500
Br1 0.558 0.558 0.000

Results
The total energy is -6.601 eV per atom. The calculation puts the energy relative to the elements, uncorrected at 0.968 eV/atom. For the energy relative to the lowest polymorph listed for this composition, the calculation gives 63.88 kJ/mol of atoms.

***

Compound: LaCu3N
Source: Alexandria via LeMat-Bulk
Functional: PBE
Structure: optimized geometry

a b c (Å): 4.282 4.282 4.282
angles (deg): 90.00 90.00 90.00
Positions (direct):
N1 0.000 0.000 0.000
Cu1 0.000 0.500 0.000
Cu2 0.000 0.000 0.500
Cu3 0.500 0.000 0.000
La1 0.500 0.500 0.500

Results
The total energy is -4.737 eV per atom. The calculation puts the energy relative to the elements, uncorrected at 0.371 eV/atom. For the energy relative to the lowest polymorph listed for this composition, the calculation gives 0.00 kJ/mol of atoms.

***

Compound: SeCl2F2
Source: Alexandria via LeMat-Bulk
Functional: PBE
Structure: optimized geometry

a b c (Å): 5.764 5.764 6.911
angles (deg): 90.00 90.00 90.00
Positions (direct):
F1 0.280 0.780 0.000
F2 0.780 0.720 0.000
F3 0.720 0.220 0.000
F4 0.220 0.280 0.000
Se1 0.000 0.000 0.000
Se2 0.500 0.500 0.000
Cl1 0.123 0.623 0.500
Cl2 0.623 0.877 0.500
Cl3 0.877 0.377 0.500
Cl4 0.377 0.123 0.500

Results
The total energy is -2.746 eV per atom. The calculation puts the energy relative to the elements, uncorrected at -0.562 eV/atom. For the energy relative to the lowest polymorph listed for this composition, the calculation gives 0.00 kJ/mol of atoms.

***

Compound: LiGa6Pt
Source: Alexandria via LeMat-Bulk
Functional: PBE
Structure: optimized geometry

a b c (Å): 7.088 6.380 5.399
angles (deg): 53.78 65.99 46.49
Positions (direct):
Li1 0.000 0.000 0.000
Ga1 0.747 0.663 0.492
Ga2 0.747 0.155 0.508
Ga3 0.253 0.845 0.492
Ga4 0.253 0.337 0.508
Ga5 0.728 0.688 0.000
Ga6 0.272 0.312 0.000
Pt1 0.500 0.500 0.000

Results
The total energy is -3.496 eV per atom. The calculation puts the energy of formation at -0.231 eV/atom.

***

Compound: KSrAc4
Source: Alexandria via LeMat-Bulk
Functional: PBE
Structure: optimized geometry

a b c (Å): 7.660 7.660 7.660
angles (deg): 60.00 60.00 60.00
Positions (direct):
Sr1 0.000 0.000 0.000
Ac1 0.626 0.626 0.121
Ac2 0.626 0.121 0.626
Ac3 0.626 0.626 0.626
Ac4 0.121 0.626 0.626
K1 0.250 0.250 0.250

Results
The total energy is -2.913 eV per atom. The calculation puts the energy of formation at 0.289 eV/atom.

***

Compound: MnBeAu3
Source: Alexandria via LeMat-Bulk
Functional: PBE
Structure: optimized geometry

a b c (Å): 4.902 4.902 4.902
angles (deg): 90.00 90.00 90.00
Positions (direct):
Be1 0.500 0.500 0.500
Mn1 0.000 0.000 0.000
Au1 0.000 0.500 0.000
Au2 0.000 0.000 0.500
Au3 0.500 0.000 0.000

Results
The total energy is -3.445 eV per atom. The calculation puts the energy of formation at 1.101 eV/atom. For the energy relative to the lowest polymorph listed for this composition, the calculation gives 112.56 kJ/mol of atoms.

***

Compound: PmSm2Tc
Source: Alexandria via LeMat-Bulk
Functional: PBE
Structure: optimized geometry

a b c (Å): 3.509 3.509 9.140
angles (deg): 90.00 90.00 90.00
Positions (direct):
Tc1 0.500 0.500 0.000
Sm1 0.000 0.000 0.815
Sm2 0.000 0.000 0.185
Pm1 0.500 0.500 0.500

Results
The total energy is -6.036 eV per atom. The calculation puts the energy of formation at 0.103 eV/atom. For the energy relative to the lowest polymorph listed for this composition, the calculation gives 11.25 kJ/mol of atoms.

***

Compound: PrDyTmAg
Source: Alexandria via LeMat-Bulk
Functional: PBE
Structure: optimized geometry

a b c (Å): 5.429 5.429 5.429
angles (deg): 60.00 60.00 60.00
Positions (direct):
Pr1 0.500 0.500 0.500
Tm1 0.750 0.750 0.750
Ag1 0.250 0.250 0.250
Dy1 0.000 0.000 0.000

Results
The total energy is -4.121 eV per atom. The calculation puts the energy of formation at 0.055 eV/atom. For the energy relative to the lowest polymorph listed for this composition, the calculation gives 18.30 kJ/mol of atoms.

***

Compound: ErSc4Cu5
Source: Alexandria via LeMat-Bulk
Functional: PBE
Structure: optimized geometry

a b c (Å): 3.271 3.271 16.679
angles (deg): 90.00 90.00 90.00
Positions (direct):
Er1 0.000 0.000 0.000
Sc1 0.000 0.000 0.206
Sc2 0.000 0.000 0.402
Sc3 0.000 0.000 0.598
Sc4 0.000 0.000 0.794
Cu1 0.500 0.500 0.112
Cu2 0.500 0.500 0.304
Cu3 0.500 0.500 0.500
Cu4 0.500 0.500 0.696
Cu5 0.500 0.500 0.888

Results
The total energy is -5.313 eV per atom. The calculation puts the energy of formation at -0.276 eV/atom.

***

Compound: LiNbCrSn2
Source: Alexandria via LeMat-Bulk
Functional: PBE
Structure: optimized geometry

a b c (Å): 5.404 4.733 5.404
angles (deg): 90.00 90.00 90.00
Positions (direct):
Cr1 0.000 0.500 0.000
Nb1 0.000 0.000 0.000
Sn1 0.000 0.000 0.500
Sn2 0.500 0.000 0.000
Li1 0.500 0.500 0.500

Results
The total energy is -5.321 eV per atom. The calculation puts the energy of formation at 0.601 eV/atom.

***

Compound: BaCe2Rh
Source: Alexandria via LeMat-Bulk
Functional: PBE
Structure: optimized geometry

a b c (Å): 4.090 4.090 10.121
angles (deg): 78.34 78.34 60.00
Positions (direct):
Rh1 0.000 0.000 0.000
Ba1 0.500 0.500 0.500
Ce1 0.718 0.718 0.845
Ce2 0.282 0.282 0.155

Results
The total energy is -5.498 eV per atom. The calculation puts the energy of formation at -0.213 eV/atom.

***

Compound: Ac2Pr3In4
Source: Alexandria via LeMat-Bulk
Functional: PBE
Structure: optimized geometry

a b c (Å): 7.432 9.513 9.491
angles (deg): 90.00 113.05 90.00
Positions (direct):
Ac1 0.110 0.575 0.219
Ac2 0.890 0.425 0.781
Ac3 0.390 0.075 0.781
Ac4 0.610 0.925 0.219
Pr1 0.000 0.000 0.000
Pr2 0.500 0.500 0.000
Pr3 0.529 0.750 0.559
Pr4 0.971 0.250 0.441
Pr5 0.471 0.250 0.441
Pr6 0.029 0.750 0.559
In1 0.712 0.750 0.923
In2 0.788 0.250 0.077
In3 0.288 0.250 0.077
In4 0.212 0.750 0.923
In5 0.183 0.964 0.366
In6 0.817 0.036 0.634
In7 0.317 0.464 0.634
In8 0.683 0.536 0.366

Results
The total energy is -4.049 eV per atom. The calculation puts the energy of formation at -0.326 eV/atom. For the energy relative to the lowest polymorph listed for this composition, the calculation gives 9.41 kJ/mol of atoms.

***

Compound: AsSe2O
Source: Alexandria via LeMat-Bulk
Functional: PBE
Structure: optimized geometry

a b c (Å): 6.387 6.387 5.900
angles (deg): 57.23 57.23 90.00
Positions (direct):
As1 0.000 0.000 0.000
As2 0.750 0.250 0.500
O1 0.500 0.500 0.000
O2 0.250 0.750 0.500
Se1 0.591 0.125 0.250
Se2 0.159 0.625 0.250
Se3 0.375 0.409 0.750
Se4 0.875 0.841 0.750

Results
The total energy is -3.834 eV per atom. The calculation puts the energy relative to the elements, uncorrected at 0.310 eV/atom. For the energy relative to the lowest polymorph listed for this composition, the calculation gives 18.86 kJ/mol of atoms.

***

Compound: TiNbAlMo
Source: Alexandria via LeMat-Bulk
Functional: PBE
Structure: optimized geometry

a b c (Å): 3.279 3.279 6.156
angles (deg): 90.00 90.00 90.00
Positions (direct):
Ti1 0.500 0.500 0.119
Nb1 0.500 0.500 0.596
Al1 0.000 0.000 0.861
Mo1 0.000 0.000 0.352

Results
The total energy is -8.427 eV per atom. The calculation puts the energy of formation at -0.293 eV/atom. For the energy relative to the lowest polymorph listed for this composition, the calculation gives 0.00 kJ/mol of atoms.

***

Compound: Li2YZr
Source: Alexandria via LeMat-Bulk
Functional: PBE
Structure: optimized geometry

a b c (Å): 3.411 5.210 5.312
angles (deg): 90.00 90.00 90.00
Positions (direct):
Li1 0.000 0.000 0.000
Li2 0.500 0.500 0.000
Y1 0.500 0.000 0.500
Zr1 0.000 0.500 0.500

Results
The total energy is -4.416 eV per atom. The calculation puts the energy of formation at 0.294 eV/atom. For the energy relative to the lowest polymorph listed for this composition, the calculation gives 15.01 kJ/mol of atoms.

***

Compound: PmAgPbCl6
Source: Alexandria via LeMat-Bulk
Functional: PBE
Structure: optimized geometry

a b c (Å): 6.965 6.965 12.924
angles (deg): 90.00 90.00 120.00
Positions (direct):
Pm1 0.667 0.333 0.250
Pm2 0.333 0.667 0.750
Ag1 0.333 0.667 0.250
Ag2 0.667 0.333 0.750
Pb1 0.000 0.000 0.000
Pb2 0.000 0.000 0.500
Cl1 0.658 0.652 0.129
Cl2 0.994 0.342 0.129
Cl3 0.342 0.994 0.629
Cl4 0.006 0.658 0.871
Cl5 0.348 0.342 0.371
Cl6 0.994 0.652 0.371
Cl7 0.652 0.994 0.871
Cl8 0.658 0.006 0.371
Cl9 0.006 0.348 0.629
Cl10 0.348 0.006 0.129
Cl11 0.652 0.658 0.629
Cl12 0.342 0.348 0.871

Results
The total energy is -3.970 eV per atom. The calculation puts the energy relative to the elements, uncorrected at -1.482 eV/atom.

***

Compound: CuSiNiRu
Source: Alexandria via LeMat-Bulk
Functional: PBE
Structure: optimized geometry

a b c (Å): 4.083 4.083 4.083
angles (deg): 60.00 60.00 60.00
Positions (direct):
Ru1 0.500 0.500 0.500
Si1 0.750 0.750 0.750
Cu1 0.250 0.250 0.250
Ni1 0.000 0.000 0.000

Results
The total energy is -6.437 eV per atom. The calculation puts the energy relative to the elements, uncorrected at -0.293 eV/atom.

***

Compound: PuFeRe
Source: Alexandria via LeMat-Bulk
Functional: PBE
Structure: optimized geometry

a b c (Å): 5.361 5.361 5.361
angles (deg): 96.14 55.93 123.15
Positions (direct):
Pu1 0.750 0.878 0.372
Pu2 0.250 0.122 0.628
Re1 0.500 0.000 0.000
Re2 0.000 0.500 0.000
Fe1 0.000 0.500 0.500
Fe2 0.500 0.500 0.000

Results
The total energy is -11.698 eV per atom. The calculation puts the energy of formation at 0.050 eV/atom.

***

Compound: YGaGeO2
Source: Alexandria via LeMat-Bulk
Functional: PBE
Structure: optimized geometry

a b c (Å): 3.935 6.161 3.935
angles (deg): 90.00 90.00 90.00
Positions (direct):
Y1 0.000 0.500 0.000
Ge1 0.500 0.500 0.500
O1 0.000 0.000 0.500
O2 0.500 0.000 0.000
Ga1 0.000 0.000 0.000

Results
The total energy is -5.128 eV per atom. The calculation puts the energy relative to the elements, uncorrected at -0.323 eV/atom.

***

Compound: Cu5Pd6Rh
Source: Alexandria via LeMat-Bulk
Functional: PBE
Structure: optimized geometry

a b c (Å): 3.902 7.324 7.190
angles (deg): 120.61 105.74 90.00
Positions (direct):
Rh1 0.000 0.000 0.000
Pd1 0.832 0.577 0.664
Pd2 0.832 0.087 0.664
Pd3 0.500 0.741 0.000
Pd4 0.500 0.259 0.000
Pd5 0.168 0.913 0.336
Pd6 0.168 0.423 0.336
Cu1 0.663 0.163 0.327
Cu2 0.330 0.330 0.660
Cu3 0.000 0.500 0.000
Cu4 0.670 0.670 0.340
Cu5 0.337 0.837 0.673

Results
The total energy is -4.968 eV per atom. The calculation puts the energy of formation at -0.052 eV/atom.